Mg2Ga3Co2: relaxed, PBE.

abc: 9.4607 3.7526 6.7394
angles: 90.00 113.63 90.00
Space group C2/m (No. 12)
Asymmetric unit:
Mg  0.1495  0.0000  0.2949 [4 per cell]
Ga  0.0000  0.5000  0.5000 [2 per cell]
Ga  0.1390  0.5000  0.9522 [4 per cell]
Co  0.1315  0.0000  0.7012 [4 per cell]

Total DFT energy (no corrections)   -0.29473 Ry per atom
Crystal system   monoclinic


ScSnAu: relaxed, PBE.

abc: 4.3842 4.3842 6.9748
angles: 90.00 90.00 90.00
Space group P4/nmm (No. 129, origin choice 2)
Asymmetric unit:
Sc  0.2500  0.7500  0.0000 [2 per cell]
Sn  0.2500  0.2500  0.3412 [2 per cell]
Au  0.2500  0.2500  0.7411 [2 per cell]

Total DFT energy (no corrections)   -0.37004 Ry per atom
Crystal system   tetragonal


Respective Fermi-level density of states values: 0.580 0.631 states/eV per atom.
Respective formation energy from the elements values: -1.589 -1.492 eV per formula unit.
Respective mass density values: 5.691 8.934 g/cm³.